Ce2ScSi | PBE-GGA | relaxed

For the energy relative to the elements, uncorrected, the calculation gives -0.3654 eV/atom. The energy above the most stable polymorph in this dataset comes out at 0 meV/atom. As for the magnetization: 0.00 μB/f.u.

The structure belongs to space group P4/mmm (No. 123); the cell edges are 4.254, 4.254 and 4.855 Å and the angles 90.00°, 90.00° and 90.00°. The distinct sites, in fractional coordinates, are Ce at (0.000, 0.500, 0.000), Sc at (0.000, 0.000, 0.500) and Si at (0.500, 0.500, 0.500).